## Sc4SnPbO (GGA-PBE)

Data for Sc4SnPbO after structural relaxation.

Cell: 6.1382 6.1381 8.3129 Å, 90.00 111.67 90.00°
Closest atoms and distances in Å follow each position.
Fractional coordinates of all 14 atoms:
Sc 0.9131 0.2500 0.8261  1 O 2.53
Sc 0.4094 0.7500 0.8188  1 O 2.46
Sc 0.0869 0.7500 0.1739  1 O 2.53
Sc 0.5906 0.2500 0.1812  1 O 2.46
Sc 0.5000 0.5000 0.5000  2 O 2.17
Sc 0.0000 0.0000 0.5000  2 O 2.17
Sc 0.5000 0.0000 0.5000  2 O 2.17
Sc 0.0000 0.5000 0.5000  2 O 2.17
Sn 0.1075 0.2500 0.2151  9 Sc 3.00-3.09
Sn 0.8925 0.7500 0.7849  9 Sc 3.00-3.09
Pb 0.6039 0.7500 0.2078  9 Sc 3.01-3.13
Pb 0.3961 0.2500 0.7922  9 Sc 3.01-3.13
O 0.2504 0.7500 0.5008  4 Sc 2.17
O 0.7496 0.2500 0.4992  4 Sc 2.17

Properties
Formation energy from raw total energies in eV/atom: -1.222
Symmetry: Cmcm, No. 63
D(E_F) in states/eV/cell: 12.61
Volume in A^3/atom: 20.79

=====

## Sr2ScPbO5 (GGA-PBE)

Data for Sr2ScPbO5 after structural relaxation.

Cell: 3.4245 8.1973 9.8168 Å, 90.00 90.00 102.06°
Closest atoms and distances in Å follow each position.
Fractional coordinates of all 18 atoms:
Sr 0.8655 0.7310 0.7893  8 O 2.53-2.83
Sr 0.1345 0.2689 0.7271  7 O 2.53-2.77
Sr 0.1345 0.2690 0.2893  8 O 2.53-2.83
Sr 0.8655 0.7311 0.2271  7 O 2.53-2.77
Sc 0.7708 0.5415 0.5082  6 O 2.08-2.19
Sc 0.2292 0.4585 0.0082  6 O 2.08-2.19
Pb 0.5099 0.0197 0.0082  3 O 2.18-2.42
Pb 0.4901 0.9803 0.5082  3 O 2.18-2.42
O 0.3592 0.7185 0.0081  1 Sc 2.08
O 0.7159 0.4318 0.8705  2 Sc 2.19
O 0.5000 0.0001 0.7583  2 Pb 2.46
O 0.2840 0.5681 0.6459  2 Sc 2.19
O 0.9056 0.8112 0.5084  1 Sc 2.16, 2 Pb 2.18
O 0.6408 0.2815 0.5081  1 Sc 2.08
O 0.2841 0.5682 0.3705  2 Sc 2.19
O 0.5000 0.9999 0.2583  2 Pb 2.46
O 0.7160 0.4319 0.1459  2 Sc 2.19
O 0.0944 0.1888 0.0084  1 Sc 2.16, 2 Pb 2.18

Properties
Formation energy from raw total energies in eV/atom: -2.383
Symmetry: Cmcm, No. 63
D(E_F) in states/eV/cell: 5.00
Volume in A^3/atom: 14.97

=====

## ScTaPb2O6 (GGA-PBE)

Data for ScTaPb2O6 after structural relaxation.

Cell: 5.7958 5.7871 8.1748 Å, 90.00 90.07 90.00°
Closest atoms and distances in Å follow each position.
Fractional coordinates of all 20 atoms:
Sc 0.5000 0.0000 0.0000  6 O 2.13
Sc 0.0000 0.5000 0.5000  6 O 2.13
Ta 0.5000 0.0000 0.5000  6 O 2.01
Ta 0.0000 0.5000 0.0000  6 O 2.01
Pb 0.0048 0.9865 0.2493  6 O 2.59-2.83
Pb 0.5048 0.5135 0.7493  6 O 2.59-2.83
Pb 0.9952 0.0135 0.7507  6 O 2.59-2.83
Pb 0.4952 0.4865 0.2507  6 O 2.59-2.83
O 0.2670 0.7186 0.0303  1 Ta 2.01, 1 Sc 2.13
O 0.7670 0.7814 0.5303  1 Ta 2.01, 1 Sc 2.13
O 0.7330 0.2814 0.9697  1 Ta 2.01, 1 Sc 2.13
O 0.2330 0.2186 0.4697  1 Ta 2.01, 1 Sc 2.13
O 0.2833 0.7311 0.4698  1 Ta 2.01, 1 Sc 2.13
O 0.7833 0.7689 0.9698  1 Ta 2.01, 1 Sc 2.13
O 0.7167 0.2689 0.5302  1 Ta 2.01, 1 Sc 2.13
O 0.2167 0.2311 0.0302  1 Ta 2.01, 1 Sc 2.13
O 0.9428 0.5066 0.2426  1 Ta 2.01, 1 Sc 2.13
O 0.4428 0.9934 0.7426  1 Ta 2.01, 1 Sc 2.13
O 0.0572 0.4934 0.7574  1 Ta 2.01, 1 Sc 2.13
O 0.5572 0.0066 0.2574  1 Ta 2.01, 1 Sc 2.13

Properties
Formation energy from raw total energies in eV/atom: -2.367
Symmetry: P2_1/c, No. 14
Offset from the most stable computed form in meV/atom: 0
D(E_F) in states/eV/cell: 0.00
Volume in A^3/atom: 13.71

=====

## ScTaPb2O6 (GGA-PBE)

Data for ScTaPb2O6 after structural relaxation.

Cell: 5.8029 5.8029 5.8029 Å, 60.00 60.00 60.00°
Closest atoms and distances in Å follow each position.
Fractional coordinates of all 10 atoms:
Sc 0.0000 0.0000 0.0000  6 O 2.10
Ta 0.5000 0.5000 0.5000  6 O 2.00
Pb 0.2500 0.2500 0.2500  12 O 2.90
Pb 0.7500 0.7500 0.7500  12 O 2.90
O 0.2562 0.2562 0.7438  1 Ta 2.00, 1 Sc 2.10
O 0.7438 0.7438 0.2562  1 Ta 2.00, 1 Sc 2.10
O 0.7438 0.2562 0.7438  1 Ta 2.00, 1 Sc 2.10
O 0.2562 0.7438 0.2562  1 Ta 2.00, 1 Sc 2.10
O 0.2562 0.7438 0.7438  1 Ta 2.00, 1 Sc 2.10
O 0.7438 0.2562 0.2562  1 Ta 2.00, 1 Sc 2.10

Properties
Formation energy from raw total energies in eV/atom: -2.349
Symmetry: Fm-3m, No. 225
Offset from the most stable computed form in meV/atom: 18
D(E_F) in states/eV/cell: 0.00
Volume in A^3/atom: 13.82

=====

The records above yield spin magnetization values of 2.10, 0.00, 0.00, 0.00 μB/cell, respectively.